Tl2InSe after structural relaxation. Source: Alexandria, functional PBE-GGA.

Values from the calculation:
Symmetry ... Pm (6)
Raw formation energy ... -0.2107 eV/atom
Energy relative to the lowest polymorph listed for this composition ... 0.070 eV per formula unit

The structure in CIF format:
```
data_Tl2InSe
_space_group_name_H-M_alt 'P 1'
_space_group_IT_number 1
_cell_length_a 5.115
_cell_length_b 4.067
_cell_length_c 6.460
_cell_angle_alpha 90.00
_cell_angle_beta 113.14
_cell_angle_gamma 90.00
loop_
_space_group_symop_operation_xyz
'x,y,z'
loop_
_atom_site_label
_atom_site_fract_x
_atom_site_fract_y
_atom_site_fract_z
Tl1 0.000 0.000 0.000
Tl2 0.310 0.500 0.578
In1 0.748 0.000 0.444
Se1 0.539 0.500 0.107
```



Pm4Ga2F after structural relaxation. Source: Alexandria, functional PBE-GGA.

Values from the calculation:
Symmetry ... I4/mmm (139)
Raw formation energy ... -0.9395 eV/atom

The structure in CIF format:
```
data_Pm4Ga2F
_space_group_name_H-M_alt 'P 1'
_space_group_IT_number 1
_cell_length_a 4.726
_cell_length_b 4.726
_cell_length_c 16.381
_cell_angle_alpha 90.00
_cell_angle_beta 90.00
_cell_angle_gamma 90.00
loop_
_space_group_symop_operation_xyz
'x,y,z'
loop_
_atom_site_label
_atom_site_fract_x
_atom_site_fract_y
_atom_site_fract_z
Pm1 0.000 0.000 0.184
Pm2 0.000 0.000 0.816
Pm3 0.000 0.500 0.000
Pm4 0.000 0.500 0.500
Pm5 0.500 0.000 0.000
Pm6 0.500 0.000 0.500
Pm7 0.500 0.500 0.316
Pm8 0.500 0.500 0.684
Ga1 0.000 0.000 0.368
Ga2 0.000 0.000 0.632
Ga3 0.500 0.500 0.132
Ga4 0.500 0.500 0.868
F1 0.000 0.000 0.000
F2 0.500 0.500 0.500
```



LiTa2Br after structural relaxation. Source: Alexandria, functional PBE-GGA.

Values from the calculation:
Symmetry ... I-42d (122)
Raw formation energy ... 0.5595 eV/atom
Energy relative to the lowest polymorph listed for this composition ... 2.006 eV per formula unit

The structure in CIF format:
```
data_LiTa2Br
_space_group_name_H-M_alt 'P 1'
_space_group_IT_number 1
_cell_length_a 3.791
_cell_length_b 3.791
_cell_length_c 21.992
_cell_angle_alpha 90.00
_cell_angle_beta 90.00
_cell_angle_gamma 90.00
loop_
_space_group_symop_operation_xyz
'x,y,z'
loop_
_atom_site_label
_atom_site_fract_x
_atom_site_fract_y
_atom_site_fract_z
Li1 0.000 0.000 0.000
Li2 0.000 0.500 0.250
Li3 0.500 0.000 0.750
Li4 0.500 0.500 0.500
Ta1 0.246 0.250 0.125
Ta2 0.250 0.746 0.375
Ta3 0.250 0.754 0.875
Ta4 0.254 0.250 0.625
Ta5 0.746 0.750 0.625
Ta6 0.750 0.246 0.875
Ta7 0.750 0.254 0.375
Ta8 0.754 0.750 0.125
Br1 0.000 0.000 0.500
Br2 0.000 0.500 0.750
Br3 0.500 0.000 0.250
Br4 0.500 0.500 0.000
```



BaMg2Sn3 after structural relaxation. Source: Alexandria, functional PBE-GGA.

Values from the calculation:
Symmetry ... Cmcm (63)
Uncorrected energy ... -3.13 eV/atom

The structure in CIF format:
```
data_BaMg2Sn3
_space_group_name_H-M_alt 'P 1'
_space_group_IT_number 1
_cell_length_a 7.596
_cell_length_b 7.596
_cell_length_c 6.502
_cell_angle_alpha 90.00
_cell_angle_beta 90.00
_cell_angle_gamma 77.32
loop_
_space_group_symop_operation_xyz
'x,y,z'
loop_
_atom_site_label
_atom_site_fract_x
_atom_site_fract_y
_atom_site_fract_z
Ba1 0.176 0.824 0.750
Ba2 0.824 0.176 0.250
Mg1 0.281 0.281 0.000
Mg2 0.281 0.281 0.500
Mg3 0.719 0.719 0.000
Mg4 0.719 0.719 0.500
Sn1 0.038 0.583 0.250
Sn2 0.417 0.962 0.250
Sn3 0.445 0.555 0.250
Sn4 0.555 0.445 0.750
Sn5 0.583 0.038 0.750
Sn6 0.962 0.417 0.750
```



CaPr2Zn3 after structural relaxation. Source: Alexandria, functional PBE-GGA.

Values from the calculation:
Symmetry ... P4/mmm (123)
Energy relative to the lowest polymorph listed for this composition ... 0.091 eV per formula unit

The structure in CIF format:
```
data_CaPr2Zn3
_space_group_name_H-M_alt 'P 1'
_space_group_IT_number 1
_cell_length_a 3.702
_cell_length_b 3.702
_cell_length_c 11.164
_cell_angle_alpha 90.00
_cell_angle_beta 90.00
_cell_angle_gamma 90.00
loop_
_space_group_symop_operation_xyz
'x,y,z'
loop_
_atom_site_label
_atom_site_fract_x
_atom_site_fract_y
_atom_site_fract_z
Ca1 0.000 0.000 0.000
Pr1 0.000 0.000 0.334
Pr2 0.000 0.000 0.666
Zn1 0.500 0.500 0.170
Zn2 0.500 0.500 0.500
Zn3 0.500 0.500 0.830
```



Mn5In after structural relaxation. Source: Alexandria, functional PBE-GGA.

Values from the calculation:
Symmetry ... P4/mmm (123)
Energy relative to the lowest polymorph listed for this composition ... 0.218 eV per formula unit

The structure in CIF format:
```
data_Mn5In
_space_group_name_H-M_alt 'P 1'
_space_group_IT_number 1
_cell_length_a 2.866
_cell_length_b 2.866
_cell_length_c 9.303
_cell_angle_alpha 90.00
_cell_angle_beta 90.00
_cell_angle_gamma 90.00
loop_
_space_group_symop_operation_xyz
'x,y,z'
loop_
_atom_site_label
_atom_site_fract_x
_atom_site_fract_y
_atom_site_fract_z
Mn1 0.000 0.000 0.000
Mn2 0.000 0.000 0.286
Mn3 0.000 0.000 0.714
Mn4 0.500 0.500 0.156
Mn5 0.500 0.500 0.844
In1 0.500 0.500 0.500
```



Number 1: total moment 0.00 Bohr magnetons per cell. Number 2: total moment 0.57 Bohr magnetons per cell. Number 3: total moment 0.00 Bohr magnetons per cell. Number 4: total moment 0.00 Bohr magnetons per cell. Number 5: total moment 0.00 Bohr magnetons per cell. Number 6: total moment 2.44 Bohr magnetons per cell.